Record 1
The following is a PBE calculation of a relaxed structure of LiMnAs, from Alexandria.

Summary:
ΔE to the lowest computed polymorph in meV per atom: 565
Formation enthalpy at 0 K in eV per atom: 0.10

```
LiMnAs
1.0
-5.2090 5.2090 2.5313
5.2090 -5.2090 2.5313
5.2090 5.2090 -2.5313
Li Mn As
4 4 4
direct
0.0000 0.3538 0.3538 Li
0.0000 0.6462 0.6462 Li
0.3538 0.0000 0.3538 Li
0.6462 0.0000 0.6462 Li
0.2838 0.2838 0.5676 Mn
0.2838 0.7162 0.0000 Mn
0.7162 0.2838 0.0000 Mn
0.7162 0.7162 0.4324 Mn
0.2127 0.5000 0.7127 As
0.5000 0.2127 0.7127 As
0.5000 0.7873 0.2873 As
0.7873 0.5000 0.2873 As
```

---

Record 2
The following is a PBE calculation of a relaxed structure of Sr2CoP, from Alexandria.

Summary:
Formation enthalpy at 0 K in eV per atom: -0.06

```
Sr2CoP
1.0
3.6925 0.0000 0.0000
0.0000 3.8319 0.0000
0.0000 0.0000 7.3666
Sr Co P
2 1 1
direct
0.0000 0.0000 0.2310 Sr
0.0000 0.0000 0.7690 Sr
0.5000 0.5000 0.5000 Co
0.5000 0.5000 0.0000 P
```

---

Record 3
The following is a PBE calculation of a relaxed structure of SrPdBr, from Alexandria.

Summary:
ΔE to the lowest computed polymorph in meV per atom: 0
Raw formation energy in eV/atom: -1.263

```
SrPdBr
1.0
2.2382 1.2922 11.1486
-2.2382 1.2922 11.1486
0.0000 -2.5844 11.1486
Sr Pd Br
2 2 2
direct
0.0642 0.0642 0.0642 Sr
0.9358 0.9358 0.9358 Sr
0.3337 0.3337 0.3337 Pd
0.6663 0.6663 0.6663 Pd
0.2196 0.2196 0.2196 Br
0.7804 0.7804 0.7804 Br
```

---

Record 4
The following is a PBE calculation of a relaxed structure of ErLuMnAu, from Alexandria.

Summary:
Formation enthalpy at 0 K in eV per atom: -0.29

```
ErLuMnAu
1.0
7.0520 0.0000 0.0000
0.0000 7.0520 0.0000
0.0000 0.0000 7.0520
Er Lu Mn Au
4 4 4 4
direct
0.0000 0.0000 0.0000 Er
0.0000 0.5000 0.5000 Er
0.5000 0.0000 0.5000 Er
0.5000 0.5000 0.0000 Er
0.0000 0.0000 0.5000 Lu
0.0000 0.5000 0.0000 Lu
0.5000 0.0000 0.0000 Lu
0.5000 0.5000 0.5000 Lu
0.2500 0.2500 0.7500 Mn
0.2500 0.7500 0.2500 Mn
0.7500 0.2500 0.2500 Mn
0.7500 0.7500 0.7500 Mn
0.2500 0.2500 0.2500 Au
0.2500 0.7500 0.7500 Au
0.7500 0.2500 0.7500 Au
0.7500 0.7500 0.2500 Au
```

---

Record 5
The following is a PBE calculation of a relaxed structure of LiCaPmPr, from Alexandria.

Summary:
Formation enthalpy at 0 K in eV per atom: 0.21

```
LiCaPmPr
1.0
8.1272 0.0000 0.0000
0.0000 8.1272 0.0000
0.0000 0.0000 8.1272
Li Ca Pm Pr
4 4 4 4
direct
0.0000 0.0000 0.0000 Li
0.0000 0.5000 0.5000 Li
0.5000 0.0000 0.5000 Li
0.5000 0.5000 0.0000 Li
0.2500 0.2500 0.2500 Ca
0.2500 0.7500 0.7500 Ca
0.7500 0.2500 0.7500 Ca
0.7500 0.7500 0.2500 Ca
0.0000 0.0000 0.5000 Pm
0.0000 0.5000 0.0000 Pm
0.5000 0.0000 0.0000 Pm
0.5000 0.5000 0.5000 Pm
0.2500 0.2500 0.7500 Pr
0.2500 0.7500 0.2500 Pr
0.7500 0.2500 0.2500 Pr
0.7500 0.7500 0.7500 Pr
```

---

Record 6
The following is a PBE calculation of a relaxed structure of CsAlP2S8, from Alexandria.

Summary:
Raw formation energy in eV/atom: -0.368

```
CsAlP2S8
1.0
5.8989 0.0000 0.0000
-2.9494 5.1086 0.0000
0.0000 0.0000 10.3148
Cs Al P S
1 1 2 8
direct
0.0000 0.0000 0.0000 Cs
0.0000 0.0000 0.5000 Al
0.3333 0.6667 0.6974 P
0.6667 0.3333 0.3026 P
0.0063 0.6682 0.3609 S
0.3318 0.3381 0.3609 S
0.3333 0.6667 0.8918 S
0.3381 0.0063 0.6391 S
0.6619 0.9937 0.3609 S
0.6667 0.3333 0.1082 S
0.6682 0.6619 0.6391 S
0.9937 0.3318 0.6391 S
```

---

Record 7
The following is a PBE calculation of a relaxed structure of La7In2Ge2, from Alexandria.

Summary:
Formation enthalpy at 0 K in eV per atom: -0.22

```
La7In2Ge2
1.0
3.9335 -5.7402 0.0000
3.9335 5.7402 0.0000
0.0000 0.0000 8.0503
La In Ge
7 2 2
direct
0.0000 0.0000 0.0000 La
0.0000 0.5000 0.3129 La
0.0000 0.5000 0.6871 La
0.5000 0.0000 0.3129 La
0.5000 0.0000 0.6871 La
0.5000 0.5000 0.2719 La
0.5000 0.5000 0.7281 La
0.2898 0.7102 0.0000 In
0.7102 0.2898 0.0000 In
0.1637 0.1637 0.5000 Ge
0.8363 0.8363 0.5000 Ge
```

---

Record 8
The following is a PBE calculation of a relaxed structure of RbAsO3, from Alexandria.

Summary:
Raw formation energy in eV/atom: -1.154

```
RbAsO3
1.0
2.8456 0.0000 0.0000
0.0000 7.3701 0.0000
0.0000 0.0000 11.2604
Rb As O
2 2 6
direct
0.0000 0.0000 0.0000 Rb
0.0000 0.5000 0.5000 Rb
0.5000 0.0000 0.3418 As
0.5000 0.5000 0.8418 As
0.0000 0.1631 0.3859 O
0.0000 0.3369 0.8859 O
0.0000 0.6631 0.8859 O
0.0000 0.8369 0.3859 O
0.5000 0.0000 0.1940 O
0.5000 0.5000 0.6940 O
```

---

Record 9
The following is a PBE calculation of a relaxed structure of ZrCdIn2, from Alexandria.

Summary:
Formation enthalpy at 0 K in eV per atom: 0.11

```
ZrCdIn2
1.0
7.9339 0.0000 0.0000
0.0000 7.9339 0.0000
0.0000 0.0000 6.2060
Zr Cd In
4 4 8
direct
0.0000 0.0000 0.0000 Zr
0.0000 0.5000 0.2500 Zr
0.5000 0.0000 0.7500 Zr
0.5000 0.5000 0.5000 Zr
0.0000 0.0000 0.5000 Cd
0.0000 0.5000 0.7500 Cd
0.5000 0.0000 0.2500 Cd
0.5000 0.5000 0.0000 Cd
0.2331 0.2500 0.6250 In
0.2500 0.7331 0.8750 In
0.2500 0.7669 0.3750 In
0.2669 0.2500 0.1250 In
0.7331 0.7500 0.1250 In
0.7500 0.2331 0.3750 In
0.7500 0.2669 0.8750 In
0.7669 0.7500 0.6250 In
```

---

Record 10
The following is a PBE calculation of a relaxed structure of Na4PmSm3S8, from Alexandria.

Summary:
Raw formation energy in eV/atom: -1.814

```
Na4PmSm3S8
1.0
4.0841 2.3580 6.6884
-4.0841 2.3580 6.6884
0.0000 -4.7159 6.6884
Na Pm Sm S
4 1 3 8
direct
0.0000 0.0000 0.0000 Na
0.0000 0.5000 0.5000 Na
0.5000 0.0000 0.5000 Na
0.5000 0.5000 0.0000 Na
0.5000 0.5000 0.5000 Pm
0.0000 0.0000 0.5000 Sm
0.0000 0.5000 0.0000 Sm
0.5000 0.0000 0.0000 Sm
0.2427 0.7443 0.7443 S
0.2436 0.2436 0.2436 S
0.2557 0.2557 0.7573 S
0.2557 0.7573 0.2557 S
0.7443 0.2427 0.7443 S
0.7443 0.7443 0.2427 S
0.7564 0.7564 0.7564 S
0.7573 0.2557 0.2557 S
```

---

Record 11
The following is a PBE calculation of a relaxed structure of Ca2Nd8Ho3, from Alexandria.

Summary:
Formation enthalpy at 0 K in eV per atom: 0.19

```
Ca2Nd8Ho3
1.0
9.2438 -3.9638 0.0000
9.2438 3.9638 0.0000
-1.4446 0.0000 6.2998
Ca Nd Ho
2 8 3
direct
0.1541 0.1541 0.2731 Ca
0.8459 0.8459 0.7269 Ca
0.0404 0.0404 0.7213 Nd
0.1063 0.5491 0.2223 Nd
0.3302 0.3302 0.7199 Nd
0.4509 0.8937 0.7777 Nd
0.5491 0.1063 0.2223 Nd
0.6698 0.6698 0.2801 Nd
0.8937 0.4509 0.7777 Nd
0.9596 0.9596 0.2787 Nd
0.3059 0.6941 0.0000 Ho
0.5000 0.5000 0.5000 Ho
0.6941 0.3059 0.0000 Ho
```

---

Record 12
The following is a PBE calculation of a relaxed structure of CoTc2Br, from Alexandria.

Summary:
ΔE to the lowest computed polymorph in meV per atom: 414
Raw formation energy in eV/atom: 0.868

```
CoTc2Br
1.0
2.9568 0.0000 0.0000
0.0000 4.3703 0.0000
0.0000 0.0000 9.1837
Co Tc Br
2 4 2
direct
0.0000 0.0000 0.0000 Co
0.5000 0.5000 0.5000 Co
0.0000 0.5000 0.2317 Tc
0.0000 0.5000 0.7683 Tc
0.5000 0.0000 0.2683 Tc
0.5000 0.0000 0.7317 Tc
0.0000 0.0000 0.5000 Br
0.5000 0.5000 0.0000 Br
```

---

Record 13
The following is a PBE calculation of a relaxed structure of SrLi3Se, from Alexandria.

Summary:
ΔE to the lowest computed polymorph in meV per atom: 0
Raw formation energy in eV/atom: -0.475

```
SrLi3Se
1.0
5.0956 0.0000 0.0000
0.0000 5.0956 0.0000
0.0000 0.0000 5.0956
Sr Li Se
1 3 1
direct
0.0000 0.0000 0.0000 Sr
0.0000 0.5000 0.5000 Li
0.5000 0.0000 0.5000 Li
0.5000 0.5000 0.0000 Li
0.5000 0.5000 0.5000 Se
```

---

Record 14
The following is a PBE calculation of a relaxed structure of Th2MgPd6, from Alexandria.

Summary:
Formation enthalpy at 0 K in eV per atom: -0.62

```
Th2MgPd6
1.0
3.6568 -6.9309 0.0000
3.6568 6.9309 0.0000
0.0000 0.0000 3.6884
Th Mg Pd
2 1 6
direct
0.1822 0.8178 0.0000 Th
0.8178 0.1822 0.0000 Th
0.5000 0.5000 0.5000 Mg
0.1428 0.4552 0.5000 Pd
0.2157 0.2157 0.0000 Pd
0.4552 0.1428 0.5000 Pd
0.5448 0.8572 0.5000 Pd
0.7843 0.7843 0.0000 Pd
0.8572 0.5448 0.5000 Pd
```

---

Record 15
The following is a PBE calculation of a relaxed structure of CuAs2Pb2, from Alexandria.

Summary:
ΔE to the lowest computed polymorph in meV per atom: 270
Formation enthalpy at 0 K in eV per atom: 0.32

```
CuAs2Pb2
1.0
7.5637 0.0000 0.0000
0.0000 7.5637 0.0000
0.0000 0.0000 4.6425
Cu As Pb
2 4 4
direct
0.0000 0.0000 0.0000 Cu
0.5000 0.5000 0.0000 Cu
0.1127 0.3873 0.5000 As
0.3873 0.8873 0.5000 As
0.6127 0.1127 0.5000 As
0.8873 0.6127 0.5000 As
0.1989 0.6989 0.0000 Pb
0.3011 0.1989 0.0000 Pb
0.6989 0.8011 0.0000 Pb
0.8011 0.3011 0.0000 Pb
```

---

Record 16
The following is a PBE calculation of a relaxed structure of YHfRu3, from Alexandria.

Summary:
ΔE to the lowest computed polymorph in meV per atom: 0
Formation enthalpy at 0 K in eV per atom: 0.71

```
YHfRu3
1.0
4.7723 0.0000 0.0000
0.0000 4.7723 0.0000
0.0000 0.0000 4.7723
Y Hf Ru
1 1 3
direct
0.0000 0.0000 0.0000 Y
0.5000 0.5000 0.5000 Hf
0.0000 0.5000 0.5000 Ru
0.5000 0.0000 0.5000 Ru
0.5000 0.5000 0.0000 Ru
```

---

Record 17
The following is a PBE calculation of a relaxed structure of LaAlRe2, from Alexandria.

Summary:
Formation enthalpy at 0 K in eV per atom: 0.30

```
LaAlRe2
1.0
2.9265 0.0000 0.0000
-1.4632 2.5344 0.0000
0.0000 0.0000 29.9214
La Al Re
3 3 6
direct
0.0000 0.0000 0.0000 La
0.3333 0.6667 0.6667 La
0.6667 0.3333 0.3333 La
0.0000 0.0000 0.2352 Al
0.3333 0.6667 0.9019 Al
0.6667 0.3333 0.5685 Al
0.0000 0.0000 0.4969 Re
0.0000 0.0000 0.7621 Re
0.3333 0.6667 0.1636 Re
0.3333 0.6667 0.4288 Re
0.6667 0.3333 0.0954 Re
0.6667 0.3333 0.8302 Re
```

---

Record 18
The following is a PBE calculation of a relaxed structure of CsHPt3, from Alexandria.

Summary:
ΔE to the lowest computed polymorph in meV per atom: 0

```
CsHPt3
1.0
4.3874 0.0000 0.0000
0.0000 4.3874 0.0000
0.0000 0.0000 4.3874
Cs H Pt
1 1 3
direct
0.0000 0.0000 0.0000 Cs
0.5000 0.5000 0.5000 H
0.0000 0.5000 0.5000 Pt
0.5000 0.0000 0.5000 Pt
0.5000 0.5000 0.0000 Pt
```

---

Record 19
The following is a PBE calculation of a relaxed structure of Pm4Pr7Er, from Alexandria.

Summary:
ΔE to the lowest computed polymorph in meV per atom: 195
Formation enthalpy at 0 K in eV per atom: 0.21

```
Pm4Pr7Er
1.0
8.2520 -3.0589 0.0000
8.2520 3.0589 0.0000
-4.1474 0.0000 8.5155
Pm Pr Er
4 7 1
direct
0.0730 0.0730 0.1989 Pm
0.1731 0.1731 0.8893 Pm
0.8269 0.8269 0.1107 Pm
0.9270 0.9270 0.8011 Pm
0.0000 0.0000 0.5000 Pr
0.2922 0.2922 0.2763 Pr
0.2930 0.2930 0.6252 Pr
0.4185 0.4185 0.0638 Pr
0.5815 0.5815 0.9362 Pr
0.7070 0.7070 0.3748 Pr
0.7078 0.7078 0.7237 Pr
0.5000 0.5000 0.5000 Er
```

---

Record 20
The following is a PBE calculation of a relaxed structure of K2CaZn, from Alexandria.

Summary:
Formation enthalpy at 0 K in eV per atom: 0.04

```
K2CaZn
1.0
4.0779 0.0000 0.0000
0.0000 4.0779 0.0000
0.0000 0.0000 10.7302
K Ca Zn
2 1 1
direct
0.0000 0.0000 0.0000 K
0.5000 0.5000 0.3594 K
0.5000 0.5000 0.7044 Ca
0.0000 0.0000 0.5846 Zn
```

---

Record 21
The following is a PBE calculation of a relaxed structure of Ca2AlTcIr, from Alexandria.

Summary:
Formation enthalpy at 0 K in eV per atom: 1.06

```
Ca2AlTcIr
1.0
5.3536 0.0000 0.0000
0.0000 5.3536 0.0000
0.0000 0.0000 4.4817
Ca Al Tc Ir
2 1 1 1
direct
0.0000 0.5000 0.0000 Ca
0.5000 0.0000 0.0000 Ca
0.0000 0.0000 0.0000 Al
0.0000 0.0000 0.5000 Tc
0.5000 0.5000 0.5000 Ir
```

---

Record 22
The following is a PBE calculation of a relaxed structure of SiHS2Cl, from Alexandria.

Summary:
ΔE to the lowest computed polymorph in meV per atom: 19

```
SiHS2Cl
1.0
3.7802 0.0000 0.0000
0.0000 3.7802 0.0000
0.0000 0.0000 5.4439
Si H S Cl
1 1 2 1
direct
0.0000 0.0000 0.0000 Si
0.5000 0.5000 0.5000 H
0.0000 0.5000 0.5000 S
0.5000 0.0000 0.5000 S
0.5000 0.5000 0.0000 Cl
```

---

Record 23
The following is a PBE calculation of a relaxed structure of Ba2NpH12Pd3, from Alexandria.

```
Ba2NpH12Pd3
1.0
3.4883 2.0140 5.0207
-3.4883 2.0140 5.0207
0.0000 -4.0279 5.0207
Ba Np H Pd
2 1 12 3
direct
0.1150 0.1150 0.1150 Ba
0.8850 0.8850 0.8850 Ba
0.5000 0.5000 0.5000 Np
0.1015 0.6226 0.6226 H
0.2338 0.2338 0.5930 H
0.2338 0.5930 0.2338 H
0.3774 0.3774 0.8985 H
0.3774 0.8985 0.3774 H
0.4070 0.7662 0.7662 H
0.5930 0.2338 0.2338 H
0.6226 0.1015 0.6226 H
0.6226 0.6226 0.1015 H
0.7662 0.4070 0.7662 H
0.7662 0.7662 0.4070 H
0.8985 0.3774 0.3774 H
0.0000 0.5000 0.5000 Pd
0.5000 0.0000 0.5000 Pd
0.5000 0.5000 0.0000 Pd
```

---

Record 24
The following is a PBE calculation of a relaxed structure of NaSi3F, from Alexandria.

Summary:
ΔE to the lowest computed polymorph in meV per atom: 0
Raw formation energy in eV/atom: 0.328

```
NaSi3F
1.0
4.5198 0.0000 0.0000
0.0000 4.5198 0.0000
0.0000 0.0000 4.5198
Na Si F
1 3 1
direct
0.0000 0.0000 0.0000 Na
0.0000 0.5000 0.5000 Si
0.5000 0.0000 0.5000 Si
0.5000 0.5000 0.0000 Si
0.5000 0.5000 0.5000 F
```

---

Record 25
The following is a PBE calculation of a relaxed structure of LaRuRh3, from Alexandria.

Summary:
ΔE to the lowest computed polymorph in meV per atom: 0
Formation enthalpy at 0 K in eV per atom: 0.35

```
LaRuRh3
1.0
4.7430 0.0000 0.0000
0.0000 4.7430 0.0000
0.0000 0.0000 4.7430
La Ru Rh
1 1 3
direct
0.0000 0.0000 0.0000 La
0.5000 0.5000 0.5000 Ru
0.0000 0.5000 0.5000 Rh
0.5000 0.0000 0.5000 Rh
0.5000 0.5000 0.0000 Rh
```

---

Final energy list, top to bottom, in eV per atom: -5.142; -4.030; -4.112; -5.668; -3.149; -4.405; -4.691; -5.252; -3.628; -5.389; -4.106; -6.509; -2.657; -5.910; -3.839; -8.143; -8.090; -3.791; -4.543; -1.332; -4.333; -3.195; -4.285; -3.564; -6.905